! AcNpAs | OQMD | PBE | relaxed; values from VASP
&SYSTEM
  ibrav = 0, nat = 3, ntyp = 3
/
ATOMIC_SPECIES
Ac 227.00 Ac.upf
As 74.92 As.upf
Np 237.00 Np.upf
ATOMIC_POSITIONS crystal
Ac 0.250 0.250 0.250
As 0.000 0.000 0.000
Np 0.750 0.750 0.750
CELL_PARAMETERS angstrom
0.192 -1.254 4.963
-1.976 3.156 3.517
-4.289 -1.295 2.482
! **Density**: 9.417 g/cm3
! **Energy above the most stable polymorph in this dataset**: 0.0 kJ per mole of atoms
! **SG**: F-43m (216)
! **Spin magnetization**: 5.482 Bohr magnetons per cell

***

! AcAsPdO | OQMD | PBE | relaxed; values from VASP
&SYSTEM
  ibrav = 0, nat = 8, ntyp = 4
/
ATOMIC_SPECIES
Ac 227.00 Ac.upf
As 74.92 As.upf
O 16.00 O.upf
Pd 106.42 Pd.upf
ATOMIC_POSITIONS crystal
Ac 0.750 0.250 0.500
Ac 0.250 0.750 0.500
As 0.750 0.750 0.473
As 0.250 0.250 0.527
O 0.750 0.250 0.000
O 0.250 0.750 0.000
Pd 0.250 0.250 0.027
Pd 0.750 0.750 0.973
CELL_PARAMETERS angstrom
-5.336 -3.349 -1.274
2.448 -1.739 -5.683
1.919 -3.817 1.995
! **Density**: 7.234 g/cm3
! **Energy above the most stable polymorph in this dataset**: 84.1 kJ per mole of atoms
! **SG**: P4/nmm (129)
! **Spin magnetization**: 0.000 Bohr magnetons per cell

***

! AcAsPdO | OQMD | PBE | relaxed; values from VASP
&SYSTEM
  ibrav = 0, nat = 8, ntyp = 4
/
ATOMIC_SPECIES
Ac 227.00 Ac.upf
As 74.92 As.upf
O 16.00 O.upf
Pd 106.42 Pd.upf
ATOMIC_POSITIONS crystal
Ac 0.500 0.750 0.106
Ac 0.500 0.250 0.606
As 0.000 0.250 0.271
As 0.000 0.750 0.771
O 0.500 0.750 0.439
O 0.500 0.250 0.939
Pd 0.000 0.750 0.438
Pd 0.000 0.250 0.938
CELL_PARAMETERS angstrom
-0.490 0.759 -4.682
3.346 -2.664 -0.782
-4.754 -5.840 -0.450
! **Density**: 9.010 g/cm3
! **Energy above the most stable polymorph in this dataset**: 32.2 kJ per mole of atoms
! **SG**: Amm2 (38)
! **Spin magnetization**: 0.004 Bohr magnetons per cell